(1)
PuTaRh2 | GGA-PBE | optimized geometry

Calculated values
Calculated formation energy ... -0.413 eV/atom
Symmetry ... No. 123

```
4
Lattice="3.1485 0.0000 0.0000 0.0000 3.1485 0.0000 0.0000 0.0000 7.4280" Properties=species:S:1:pos:R:3 pbc="T T T"
Pu 0.0000 0.0000 0.0000
Ta 0.0000 0.0000 3.7140
Rh 1.5742 1.5742 2.2039
Rh 1.5742 1.5742 5.2241
```

***

(2)
Na4Ac3InS8 | GGA-PBE | optimized geometry

Calculated values
Symmetry ... No. 12
Formation energy from raw total energies ... -1.536 eV per atom

```
16
Lattice="7.2042 -4.2372 0.0000 7.2042 4.2372 0.0000 -4.7174 0.0000 6.9055" Properties=species:S:1:pos:R:3 pbc="T T T"
Na 0.0000 0.0000 0.0000
Na 1.2434 2.1186 3.4527
Na 1.2434 -2.1186 3.4527
Na 7.2042 0.0000 0.0000
Ac -2.3587 0.0000 3.4527
Ac 3.6021 2.1186 0.0000
Ac 3.6021 -2.1186 0.0000
In 4.8455 0.0000 3.4527
S 0.0189 0.0000 5.1961
S 2.5644 0.0000 1.8363
S 3.7360 1.9729 5.0634
S 5.9549 1.9729 1.8421
S 3.7360 -1.9729 5.0634
S 5.9549 -1.9729 1.8421
S 7.1265 0.0000 5.0691
S 9.6720 0.0000 1.7094
```

***

(3)
Pr2NdSnO | GGA-PBE | optimized geometry

Calculated values
Symmetry ... No. 123
Formation energy from raw total energies ... -1.451 eV per atom

```
5
Lattice="5.0248 0.0000 0.0000 0.0000 5.0248 0.0000 0.0000 0.0000 4.9596" Properties=species:S:1:pos:R:3 pbc="T T T"
Pr 0.0000 2.5124 0.0000
Pr 2.5124 0.0000 0.0000
Nd 0.0000 0.0000 2.4798
Sn 2.5124 2.5124 2.4798
O 0.0000 0.0000 0.0000
```

***

(4)
TlReSn2Hg | GGA-PBE | optimized geometry

Calculated values
Calculated formation energy ... 1.604 eV/atom
Symmetry ... No. 123

```
5
Lattice="5.5056 0.0000 0.0000 0.0000 5.5056 0.0000 0.0000 0.0000 5.5153" Properties=species:S:1:pos:R:3 pbc="T T T"
Tl 0.0000 0.0000 0.0000
Re 2.7528 2.7528 0.0000
Sn 0.0000 2.7528 2.7576
Sn 2.7528 0.0000 2.7576
Hg 0.0000 0.0000 2.7576
```

***

(5)
POs2Pt | GGA-PBE | optimized geometry

Calculated values
Calculated formation energy ... 0.522 eV/atom
Symmetry ... No. 47

```
4
Lattice="2.7497 0.0000 0.0000 0.0000 4.6233 0.0000 0.0000 0.0000 4.6346" Properties=species:S:1:pos:R:3 pbc="T T T"
P 0.0000 0.0000 0.0000
Os 0.0000 2.3116 2.3173
Os 1.3748 2.3116 0.0000
Pt 1.3748 0.0000 2.3173
```

***

(6)
ScMn2Cl6 | GGA-PBE | optimized geometry

Calculated values
Symmetry ... No. 12
Formation energy from raw total energies ... -1.301 eV per atom

```
9
Lattice="6.3371 -1.9247 0.0000 6.3371 1.9247 0.0000 -0.3167 0.0000 9.5751" Properties=species:S:1:pos:R:3 pbc="T T T"
Sc 0.0000 0.0000 0.0000
Mn 3.1295 0.0000 6.4148
Mn 9.2280 0.0000 3.1602
Cl 1.0382 0.0000 7.4843
Cl 1.7534 0.0000 4.0464
Cl 4.5334 0.0000 8.6134
Cl 7.8241 0.0000 0.9617
Cl 10.6041 0.0000 5.5286
Cl 11.3194 0.0000 2.0908
```

***

(7)
LiMgReW2 | GGA-PBE | optimized geometry

Calculated values
Calculated formation energy ... 1.950 eV/atom
Symmetry ... No. 123

```
5
Lattice="4.7163 0.0000 0.0000 0.0000 4.7163 0.0000 0.0000 0.0000 3.5688" Properties=species:S:1:pos:R:3 pbc="T T T"
Li 0.0000 0.0000 0.0000
Mg 0.0000 0.0000 1.7844
Re 2.3581 2.3581 0.0000
W 0.0000 2.3581 1.7844
W 2.3581 0.0000 1.7844
```

***

(8)
NaTlTcI6 | GGA-PBE | optimized geometry

Calculated values
Symmetry ... No. 163
Formation energy from raw total energies ... -0.440 eV per atom

```
18
Lattice="7.8943 0.0000 0.0000 -3.9471 6.8366 0.0000 0.0000 0.0000 14.1008" Properties=species:S:1:pos:R:3 pbc="T T T"
Na 0.0000 4.5578 3.5252
Na 3.9471 2.2789 10.5756
Tl 0.0000 0.0000 0.0000
Tl 0.0000 0.0000 7.0504
Tc 0.0000 4.5578 10.5756
Tc 3.9471 2.2789 3.5252
I -1.2076 2.6754 8.9652
I -2.2340 4.4531 12.1860
I 1.2076 2.6754 12.1860
I -1.0264 6.5448 8.9652
I 2.9208 0.2918 1.9148
I 1.7131 2.3835 5.1356
I 2.2340 4.4531 8.9652
I 1.0264 6.5448 12.1860
I 4.9735 0.2918 5.1356
I 2.7395 4.1613 1.9148
I 6.1811 2.3835 1.9148
I 5.1548 4.1613 5.1356
```